1.
Entry from Alexandria via LeMat-Bulk: NiHg2Os at its PBEsol-relaxed geometry (meta-GGA SCAN).

The space group is Imm2 (No. 44) and the conventional cell measures 2.7914, 4.7431 and 9.8446 Å, with angles of 90.00, 90.00 and 90.00 degrees. The distinct sites, in fractional coordinates, are Ni at (0.0000, 0.0000, 0.0000), Hg at (0.0000, 0.0000, 0.5286), Hg at (0.0000, 0.5000, 0.7467) and Os at (0.0000, 0.5000, 0.2946).

As for the crystal system: orthorhombic. The total energy is -443.2 eV per cell. For the energy relative to the lowest polymorph listed for this composition, the calculation gives 0.000 eV per formula unit.

2.
Entry from Alexandria via LeMat-Bulk: NiHgOs2 at its PBEsol-relaxed geometry (meta-GGA SCAN).

The space group is Cmm2 (No. 35) and the conventional cell measures 2.7819, 4.6799 and 9.1815 Å, with angles of 90.00, 90.00 and 90.00 degrees. The distinct sites, in fractional coordinates, are Ni at (0.0000, 0.0000, 0.0000), Hg at (0.0000, 0.5000, 0.2497), Os at (0.0000, 0.0000, 0.5352) and Os at (0.0000, 0.5000, 0.7736).

As for the crystal system: orthorhombic. The total energy is -450.5 eV per cell.

3.
Entry from Alexandria via LeMat-Bulk: NiHg3Os at its PBEsol-relaxed geometry (meta-GGA SCAN).

The space group is Pm-3m (No. 221) and the conventional cell measures 5.1191, 5.1191 and 5.1191 Å, with angles of 90.00, 90.00 and 90.00 degrees. The distinct sites, in fractional coordinates, are Ni at (0.0000, 0.0000, 0.0000), Hg at (0.0000, 0.5000, 0.5000) and Os at (0.5000, 0.5000, 0.5000).

As for the crystal system: cubic. The total energy is -285.4 eV per cell.